! CaV2HO6 (PBE+U, relaxed); values from VASP
! SG: C2/c (15)
! E_tot, eV per atom: -6.967
&SYSTEM
  ibrav = 0, nat = 20, ntyp = 4
/
ATOMIC_SPECIES
O 16.00 O.upf
V 50.94 V.upf
H 1.01 H.upf
Ca 40.08 Ca.upf
ATOMIC_POSITIONS crystal
O 0.304 0.899 0.420
O 0.196 0.580 0.101
O 0.696 0.101 0.580
O 0.957 0.318 0.324
O 0.457 0.324 0.318
V 0.776 0.632 0.811
O 0.543 0.676 0.682
V 0.224 0.368 0.189
O 0.804 0.420 0.899
H 0.750 0.889 0.111
H 0.250 0.111 0.889
O 0.163 0.999 0.816
O 0.837 0.001 0.184
Ca 0.250 0.876 0.124
V 0.276 0.811 0.632
Ca 0.750 0.124 0.876
O 0.663 0.816 0.999
O 0.337 0.184 0.001
O 0.043 0.682 0.676
V 0.724 0.189 0.368
CELL_PARAMETERS angstrom
-5.058 -2.354 2.131
1.861 -1.552 6.897
-3.642 5.966 2.141